1.
Density functional theory data (PBE) for an optimized crystal structure of YScAg2Se4.

## Properties
M_tot in μB per formula unit: 0.00
Crystal system: monoclinic
E_form (uncorrected) in eV per formula unit: -8.79

a b c (Å): 7.0142 4.0691 7.0460
angles (deg): 90.00 111.01 90.00
Fractional coordinates of all 8 atoms:
Y  0.0000  0.0000  0.0000
Sc  0.0000  0.5000  0.5000
Ag  0.5000  0.0000  0.5000
Ag  0.5000  0.5000  0.0000
Se  0.2362  0.0000  0.7403
Se  0.2393  0.5000  0.2638
Se  0.7607  0.5000  0.7362
Se  0.7638  0.0000  0.2597


2.
Density functional theory data (PBE) for an optimized crystal structure of ZrScAg2Se.

## Properties
M_tot in μB per formula unit: 1.51
Crystal system: tetragonal
E_form (uncorrected) in eV per formula unit: 1.65

a b c (Å): 4.9528 4.9528 4.9415
angles (deg): 90.00 90.00 90.00
Fractional coordinates of all 5 atoms:
Zr  0.0000  0.0000  0.0000
Sc  0.5000  0.5000  0.0000
Ag  0.0000  0.5000  0.5000
Ag  0.5000  0.0000  0.5000
Se  0.5000  0.5000  0.5000